Entry 1:
Computed, not measured: an optimized crystal structure of Th4GaFe at the PBE level of DFT.

```
Th4GaFe
1.0
5.927 -0.714 0.000
-1.782 8.286 0.000
-2.073 -3.786 6.551
Th Ga Fe
8 2 2
Direct
0.377 0.940 0.648 Th
0.937 0.787 0.162 Th
0.230 0.292 0.352 Th
0.274 0.625 0.838 Th
0.623 0.060 0.352 Th
0.770 0.708 0.648 Th
0.063 0.213 0.838 Th
0.726 0.375 0.162 Th
0.370 0.620 0.240 Ga
0.630 0.380 0.760 Ga
0.750 0.000 0.001 Fe
0.250 0.000 0.999 Fe
```

Values from the calculation:
V: 313.4 Å³ per cell
ΔE_f: -0.160 eV/atom


Entry 2:
Computed, not measured: an optimized crystal structure of Fe2MoAu at the PBE level of DFT.

```
Fe2MoAu
1.0
4.899 -0.015 0.239
4.088 2.701 0.239
1.240 0.371 4.316
Au Fe Mo
1 2 1
Direct
0.264 0.264 0.211 Au
0.021 0.021 0.010 Fe
0.730 0.730 0.735 Fe
0.485 0.485 0.544 Mo
```

Values from the calculation:
V: 56.5 Å³ per cell
ΔE_f: 0.255 eV/atom


Entry 3:
Computed, not measured: an optimized crystal structure of Sm2GaCo2 at the PBE level of DFT.

```
Sm2GaCo2
1.0
4.090 0.000 0.000
2.045 5.084 0.001
2.045 2.133 4.615
Co Ga Sm
2 1 2
Direct
0.500 0.285 0.715 Co
0.500 0.715 0.285 Co
0.000 0.000 0.000 Ga
0.795 0.705 0.705 Sm
0.205 0.295 0.295 Sm
```

Values from the calculation:
V: 96.0 Å³ per cell
ΔE_f: -0.330 eV/atom


Entry 4:
Computed, not measured: an optimized crystal structure of MgTl2Os at the PBE level of DFT.

```
MgTl2Os
1.0
7.119 -0.010 -0.007
4.963 5.104 0.007
-5.621 -3.544 2.555
Mg Os Tl
1 1 2
Direct
0.428 0.428 0.000 Mg
0.255 0.755 0.500 Os
0.059 0.059 0.000 Tl
0.758 0.258 0.500 Tl
```

Values from the calculation:
V: 93.1 Å³ per cell
ΔE_f: 0.469 eV/atom


What is the formula in the fourth record? MgTl2Os


Which value of ΔE_f does entry 1 give? -0.160 eV/atom